Here is an optimized crystal structure of Dy2Er6Mg from Alexandria via LeMat-Bulk. Energies are from PBE.

abc: 4.9792 10.4166 10.4148
angles: 90.00 90.00 90.00
Fractional positions:
Dy: 0.0000 0.3341 0.8340
Dy: 0.5000 0.8341 0.6660
Dy: 0.5000 0.1659 0.3340
Dy: 0.0000 0.6659 0.1660
Er: 0.0000 0.9996 0.1660
Er: 0.0000 0.6659 0.4997
Er: 0.0000 0.6677 0.8324
Er: 0.5000 0.1676 0.6675
Er: 0.5000 0.1659 0.0004
Er: 0.5000 0.4996 0.3341
Er: 0.0000 0.0004 0.8340
Er: 0.0000 0.3341 0.5003
Er: 0.0000 0.3323 0.1676
Er: 0.5000 0.8324 0.3325
Er: 0.5000 0.8341 0.9996
Er: 0.5000 0.5004 0.6659
Mg: 0.5000 0.5000 0.0000
Mg: 0.0000 0.0000 0.5000

## Properties
calculated total energy	-0.30981	Ry per atom
space-group type	No. 136
spin magnetization	0.0	μB/cell
distance to the lowest polymorph of the same formula	0	meV per atom
energy relative to the elements	27	meV/atom